Arrangement one

Density functional theory data (GGA-PBE) for a geometry-optimized Gd2TmBe structure.

The space group is R-3m (No. 166, hexagonal axes) and the conventional cell measures 3.4215, 3.4215 and 34.1750 Å, with angles of 90.00, 90.00 and 120.00 degrees. The inequivalent atoms are Gd at (0.0000, 0.0000, 0.0841), Tm at (0.0000, 0.0000, 0.5000) and Be at (0.0000, 0.0000, 0.0000).

Its density of states at the Fermi level is 15.919 states/eV/cell.

Arrangement two

Density functional theory data (GGA-PBE) for a geometry-optimized Gd2TmBe structure.

The space group is P4/mmm (No. 123) and the conventional cell measures 3.487, 3.487 and 8.505 Å, with angles of 90.00, 90.00 and 90.00 degrees. The inequivalent atoms are Gd at (0.000, 0.000, 0.196), Tm at (0.500, 0.500, 0.500) and Be at (0.500, 0.500, 0.000).

Its density of states at the Fermi level is 4.940 states/eV/cell.

Structures ranked by computed energy, the most stable listed first: arrangement two, arrangement one.

Arrangement one

Density functional theory data (GGA-PBE) for a geometry-optimized Gd2YBe structure.

The space group is P4/mmm (No. 123) and the conventional cell measures 3.508, 3.508 and 8.604 Å, with angles of 90.00, 90.00 and 90.00 degrees. The inequivalent atoms are Gd at (0.000, 0.000, 0.192), Y at (0.500, 0.500, 0.500) and Be at (0.500, 0.500, 0.000).

Its density of states at the Fermi level is 5.113 states/eV/cell.

Arrangement two

Density functional theory data (GGA-PBE) for a geometry-optimized Gd2YBe structure.

The space group is R-3m (No. 166, hexagonal axes) and the conventional cell measures 3.4587, 3.4587 and 34.4055 Å, with angles of 90.00, 90.00 and 120.00 degrees. The inequivalent atoms are Gd at (0.0000, 0.0000, 0.0833), Y at (0.0000, 0.0000, 0.5000) and Be at (0.0000, 0.0000, 0.0000).

Its density of states at the Fermi level is 15.413 states/eV/cell.

Structures ranked by computed energy, the most stable listed first: arrangement one, arrangement two.

Arrangement one

Density functional theory data (GGA-PBE) for a geometry-optimized GdZr2Be structure.

The space group is P4/mmm (No. 123) and the conventional cell measures 3.209, 3.209 and 8.205 Å, with angles of 90.00, 90.00 and 90.00 degrees. The inequivalent atoms are Gd at (0.000, 0.000, 0.000), Zr at (0.500, 0.500, 0.307) and Be at (0.000, 0.000, 0.500).

Its density of states at the Fermi level is 4.402 states/eV/cell.

Arrangement two

Density functional theory data (GGA-PBE) for a geometry-optimized GdZr2Be structure.

The space group is R-3m (No. 166, hexagonal axes) and the conventional cell measures 3.2403, 3.2403 and 30.1956 Å, with angles of 90.00, 90.00 and 120.00 degrees. The inequivalent atoms are Gd at (0.0000, 0.0000, 0.0000), Zr at (0.0000, 0.0000, 0.1077) and Be at (0.0000, 0.0000, 0.5000).

Its density of states at the Fermi level is 11.429 states/eV/cell.

Structures ranked by computed energy, the most stable listed first: arrangement one, arrangement two.

Arrangement one

Density functional theory data (GGA-PBE) for a geometry-optimized Be3GeH structure.

The space group is Pm-3m (No. 221) and the conventional cell measures 3.566, 3.566 and 3.566 Å, with angles of 90.00, 90.00 and 90.00 degrees. The inequivalent atoms are Be at (0.000, 0.000, 0.500), Ge at (0.500, 0.500, 0.500) and H at (0.000, 0.000, 0.000).

Its density of states at the Fermi level is 1.003 states/eV/cell.

Arrangement two

Density functional theory data (GGA-PBE) for a geometry-optimized Be3GeH structure.

The space group is Pm-3m (No. 221) and the conventional cell measures 4.205, 4.205 and 4.205 Å, with angles of 90.00, 90.00 and 90.00 degrees. The inequivalent atoms are Be at (0.000, 0.000, 0.500), Ge at (0.000, 0.000, 0.000) and H at (0.500, 0.500, 0.500).

Its density of states at the Fermi level is 1.197 states/eV/cell.

Structures ranked by computed energy, the most stable listed first: arrangement one, arrangement two.

Arrangement one

Density functional theory data (GGA-PBE) for a geometry-optimized BeGe2H structure.

The space group is I-42d (No. 122) and the conventional cell measures 4.170, 4.170 and 12.896 Å, with angles of 90.00, 90.00 and 90.00 degrees. The inequivalent atoms are Be at (0.000, 0.000, 0.000), Ge at (0.195, 0.250, 0.625) and H at (0.000, 0.000, 0.500).

Its density of states at the Fermi level is 7.251 states/eV/cell.

Arrangement two

Density functional theory data (GGA-PBE) for a geometry-optimized BeGe2H structure.

The space group is Fm-3m (No. 225) and the conventional cell measures 5.817, 5.817 and 5.817 Å, with angles of 90.00, 90.00 and 90.00 degrees. The inequivalent atoms are Be at (0.000, 0.000, 0.000), Ge at (0.250, 0.250, 0.250) and H at (0.000, 0.000, 0.500).

Its density of states at the Fermi level is 6.856 states/eV/cell.

Structures ranked by computed energy, the most stable listed first: arrangement one, arrangement two.

Arrangement one

Density functional theory data (GGA-PBE) for a geometry-optimized BeGeH3 structure.

The space group is Pm-3m (No. 221) and the conventional cell measures 3.385, 3.385 and 3.385 Å, with angles of 90.00, 90.00 and 90.00 degrees. The inequivalent atoms are Be at (0.000, 0.000, 0.000), Ge at (0.500, 0.500, 0.500) and H at (0.000, 0.000, 0.500).

Its density of states at the Fermi level is 0.922 states/eV/cell.

Arrangement two

Density functional theory data (GGA-PBE) for a geometry-optimized BeGeH3 structure.

The space group is Pm-3m (No. 221) and the conventional cell measures 3.646, 3.646 and 3.646 Å, with angles of 90.00, 90.00 and 90.00 degrees. The inequivalent atoms are Be at (0.000, 0.000, 0.000), Ge at (0.500, 0.500, 0.500) and H at (0.000, 0.500, 0.500).

Its density of states at the Fermi level is 0.978 states/eV/cell.

Structures ranked by computed energy, the most stable listed first: arrangement one, arrangement two.

Arrangement one

Density functional theory data (GGA-PBE) for a geometry-optimized Hf2BeGe structure.

The space group is R3m (No. 160, hexagonal axes) and the conventional cell measures 3.6233, 3.6233 and 18.6621 Å, with angles of 90.00, 90.00 and 120.00 degrees. The inequivalent atoms are Hf at (0.0000, 0.0000, 0.0000), Hf at (0.0000, 0.0000, 0.2049), Be at (0.0000, 0.0000, 0.7700) and Ge at (0.0000, 0.0000, 0.4359).

Its density of states at the Fermi level is 4.977 states/eV/cell.

Arrangement two

Density functional theory data (GGA-PBE) for a geometry-optimized Hf2BeGe structure.

The space group is I-42d (No. 122) and the conventional cell measures 7.088, 7.088 and 5.778 Å, with angles of 90.00, 90.00 and 90.00 degrees. The inequivalent atoms are Hf at (0.237, 0.250, 0.125), Be at (0.000, 0.000, 0.000) and Ge at (0.000, 0.000, 0.500).

Its density of states at the Fermi level is 14.918 states/eV/cell.

Arrangement three

Density functional theory data (GGA-PBE) for a geometry-optimized Hf2BeGe structure.

The space group is R-3m (No. 166, hexagonal axes) and the conventional cell measures 3.7287, 3.7287 and 18.2817 Å, with angles of 90.00, 90.00 and 120.00 degrees. The inequivalent atoms are Hf at (0.0000, 0.0000, 0.2466), Be at (0.0000, 0.0000, 0.5000) and Ge at (0.0000, 0.0000, 0.0000).

Its density of states at the Fermi level is 9.060 states/eV/cell.

Arrangement four

Density functional theory data (GGA-PBE) for a geometry-optimized Hf2BeGe structure.

The space group is Fm-3m (No. 225) and the conventional cell measures 6.500, 6.500 and 6.500 Å, with angles of 90.00, 90.00 and 90.00 degrees. The inequivalent atoms are Hf at (0.250, 0.250, 0.250), Be at (0.000, 0.000, 0.000) and Ge at (0.000, 0.000, 0.500).

Its density of states at the Fermi level is 20.462 states/eV/cell.

Structures ranked by computed energy, the most stable listed first: arrangement one, arrangement three, arrangement four, arrangement two.

Arrangement one

Density functional theory data (GGA-PBE) for a geometry-optimized Hf2Be3Ge structure.

The space group is Fmmm (No. 69) and the conventional cell measures 6.790, 7.557 and 13.047 Å, with angles of 90.00, 90.00 and 90.00 degrees. The inequivalent atoms are Hf at (0.246, 0.000, 0.000), Hf at (0.250, 0.250, 0.250), Be at (0.000, 0.000, 0.162), Be at (0.000, 0.242, 0.081) and Ge at (0.000, 0.000, 0.333).

Its density of states at the Fermi level is 16.165 states/eV/cell.

Arrangement two

Density functional theory data (GGA-PBE) for a geometry-optimized Hf2Be3Ge structure.

The space group is Pmm2 (No. 25) and the conventional cell measures 3.483, 3.723 and 6.471 Å, with angles of 90.00, 90.00 and 90.00 degrees. The inequivalent atoms are Hf at (0.000, 0.000, 0.000), Hf at (0.000, 0.500, 0.477), Be at (0.500, 0.000, 0.318), Be at (0.500, 0.000, 0.641), Be at (0.500, 0.500, 0.165) and Ge at (0.500, 0.500, 0.822).

Its density of states at the Fermi level is 1.847 states/eV/cell.

Structures ranked by computed energy, the most stable listed first: arrangement one, arrangement two.

Arrangement one

Density functional theory data (GGA-PBE) for a geometry-optimized BeHgGe3 structure.

The space group is Pm-3m (No. 221) and the conventional cell measures 5.194, 5.194 and 5.194 Å, with angles of 90.00, 90.00 and 90.00 degrees. The inequivalent atoms are Be at (0.000, 0.000, 0.000), Hg at (0.500, 0.500, 0.500) and Ge at (0.000, 0.500, 0.500).

Its density of states at the Fermi level is 1.192 states/eV/cell.

Arrangement two

Density functional theory data (GGA-PBE) for a geometry-optimized BeHgGe3 structure.

The space group is Pm-3m (No. 221) and the conventional cell measures 4.608, 4.608 and 4.608 Å, with angles of 90.00, 90.00 and 90.00 degrees. The inequivalent atoms are Be at (0.000, 0.000, 0.000), Hg at (0.500, 0.500, 0.500) and Ge at (0.000, 0.000, 0.500).

Its density of states at the Fermi level is 1.126 states/eV/cell.

Structures ranked by computed energy, the most stable listed first: arrangement two, arrangement one.

Arrangement one

Density functional theory data (GGA-PBE) for a geometry-optimized BeGe2I structure.

The space group is Fm-3m (No. 225) and the conventional cell measures 6.977, 6.977 and 6.977 Å, with angles of 90.00, 90.00 and 90.00 degrees. The inequivalent atoms are Be at (0.000, 0.000, 0.000), Ge at (0.250, 0.250, 0.250) and I at (0.000, 0.000, 0.500).

Its density of states at the Fermi level is 7.764 states/eV/cell.

Arrangement two

Density functional theory data (GGA-PBE) for a geometry-optimized BeGe2I structure.

The space group is I-42d (No. 122) and the conventional cell measures 5.904, 5.904 and 11.660 Å, with angles of 90.00, 90.00 and 90.00 degrees. The inequivalent atoms are Be at (0.000, 0.000, 0.000), Ge at (0.123, 0.250, 0.125) and I at (0.000, 0.000, 0.500).

Its density of states at the Fermi level is 9.806 states/eV/cell.

Structures ranked by computed energy, the most stable listed first: arrangement two, arrangement one.

Arrangement one

Density functional theory data (GGA-PBE) for a geometry-optimized BeGeI2 structure.

The space group is Fm-3m (No. 225) and the conventional cell measures 7.419, 7.419 and 7.419 Å, with angles of 90.00, 90.00 and 90.00 degrees. The inequivalent atoms are Be at (0.000, 0.000, 0.000), Ge at (0.000, 0.000, 0.500) and I at (0.250, 0.250, 0.250).

Its density of states at the Fermi level is 9.036 states/eV/cell.

Arrangement two

Density functional theory data (GGA-PBE) for a geometry-optimized BeGeI2 structure.

The space group is I-42d (No. 122) and the conventional cell measures 7.078, 7.078 and 9.777 Å, with angles of 90.00, 90.00 and 90.00 degrees. The inequivalent atoms are Be at (0.000, 0.000, 0.000), Ge at (0.000, 0.000, 0.500) and I at (0.169, 0.250, 0.125).

Its density of states at the Fermi level is 6.822 states/eV/cell.

Structures ranked by computed energy, the most stable listed first: arrangement two, arrangement one.

Arrangement one

Density functional theory data (GGA-PBE) for a geometry-optimized BeGe3I structure.

The space group is Pm-3m (No. 221) and the conventional cell measures 4.737, 4.737 and 4.737 Å, with angles of 90.00, 90.00 and 90.00 degrees. The inequivalent atoms are Be at (0.000, 0.000, 0.000), Ge at (0.000, 0.000, 0.500) and I at (0.500, 0.500, 0.500).

Its density of states at the Fermi level is 3.668 states/eV/cell.

Arrangement two

Density functional theory data (GGA-PBE) for a geometry-optimized BeGe3I structure.

The space group is Pm-3m (No. 221) and the conventional cell measures 5.454, 5.454 and 5.454 Å, with angles of 90.00, 90.00 and 90.00 degrees. The inequivalent atoms are Be at (0.000, 0.000, 0.000), Ge at (0.000, 0.500, 0.500) and I at (0.500, 0.500, 0.500).

Its density of states at the Fermi level is 4.249 states/eV/cell.

Structures ranked by computed energy, the most stable listed first: arrangement one, arrangement two.

Arrangement one

Density functional theory data (GGA-PBE) for a geometry-optimized BeGeI2O structure.

The space group is P4/mmm (No. 123) and the conventional cell measures 6.515, 6.515 and 2.941 Å, with angles of 90.00, 90.00 and 90.00 degrees. The inequivalent atoms are Be at (0.000, 0.000, 0.000), Ge at (0.500, 0.500, 0.500), I at (0.000, 0.500, 0.000) and O at (0.000, 0.000, 0.500).

Its density of states at the Fermi level is 1.226 states/eV/cell.

Arrangement two

Density functional theory data (GGA-PBE) for a geometry-optimized BeGeI2O structure.

The space group is P4/mmm (No. 123) and the conventional cell measures 5.747, 5.747 and 3.746 Å, with angles of 90.00, 90.00 and 90.00 degrees. The inequivalent atoms are Be at (0.000, 0.000, 0.000), Ge at (0.500, 0.500, 0.500), I at (0.000, 0.500, 0.500) and O at (0.500, 0.500, 0.000).

Its density of states at the Fermi level is 2.386 states/eV/cell.

Structures ranked by computed energy, the most stable listed first: arrangement one, arrangement two.